Record 1
Hg2AsO4 | PBE | optimized geometry

Output
DFT total energy, eV/atom: -4.1872
Symmetry: Fd-3m

Cell lengths 6.5938, 6.5938, 6.5938 Å; angles 120.01, 89.97, 120.01 degrees
Last column: nearest neighbours and their distance in Å.
Positions (direct):
As (0.0000, 0.0000, 0.0000)  4 O 1.75
As (0.7500, 0.5000, 0.2500)  4 O 1.75
Hg (0.3750, 0.7500, 0.1250)  6 O 2.49-2.50
Hg (0.8750, 0.2500, 0.6250)  6 O 2.49-2.50
Hg (0.3750, 0.2500, 0.6250)  6 O 2.49-2.50
Hg (0.3750, 0.7500, 0.6250)  6 O 2.49-2.50
O (0.1084, 0.2170, 0.3255)  1 As 1.75
O (0.0755, 0.7170, 0.3584)  1 As 1.75
O (0.6414, 0.2830, 0.3584)  1 As 1.75
O (0.6416, 0.7170, 0.3586)  1 As 1.75
O (0.1084, 0.7830, 0.8914)  1 As 1.75
O (0.6745, 0.7830, 0.8916)  1 As 1.75
O (0.1086, 0.2170, 0.8916)  1 As 1.75
O (0.6416, 0.2830, 0.9245)  1 As 1.75


Record 2
Zr6BCl14 | PBE | optimized geometry

Output
DFT total energy, eV/atom: -5.7283
Symmetry: Cmce

Cell lengths 9.6808, 9.6808, 11.7061 Å; angles 90.00, 90.00, 83.72 degrees
Last column: nearest neighbours and their distance in Å.
Positions (direct):
B (0.5000, 0.5000, 0.0000)  6 Zr 2.30-2.37
B (0.0000, 0.0000, 0.5000)  6 Zr 2.30-2.37
Cl (0.2500, 0.2500, 0.0000)  2 Zr 2.52
Cl (0.7500, 0.7500, 0.0000)  2 Zr 2.52
Cl (0.6185, 0.1356, 0.0082)  2 Zr 2.54-2.55
Cl (0.8644, 0.3815, 0.0082)  2 Zr 2.54-2.55
Cl (0.1580, 0.8420, 0.2399)  3 Zr 2.63-2.93
Cl (0.2911, 0.4641, 0.2490)  2 Zr 2.54-2.55
Cl (0.5359, 0.7089, 0.2490)  2 Zr 2.54-2.55
Cl (0.3991, 0.1009, 0.2500)  2 Zr 2.66
Cl (0.8991, 0.6009, 0.2500)  2 Zr 2.66
Cl (0.0359, 0.2089, 0.2510)  2 Zr 2.54-2.55
Cl (0.7911, 0.9641, 0.2510)  2 Zr 2.54-2.55
Cl (0.6580, 0.3420, 0.2601)  3 Zr 2.63-2.93
Cl (0.1185, 0.6356, 0.4917)  2 Zr 2.54-2.55
Cl (0.3644, 0.8815, 0.4917)  2 Zr 2.54-2.55
Cl (0.2500, 0.2500, 0.5000)  2 Zr 2.52
Cl (0.7500, 0.7500, 0.5000)  2 Zr 2.52
Cl (0.6356, 0.1185, 0.5082)  2 Zr 2.54-2.55
Cl (0.8815, 0.3644, 0.5082)  2 Zr 2.54-2.55
Cl (0.3420, 0.6580, 0.7399)  3 Zr 2.63-2.93
Cl (0.2089, 0.0359, 0.7490)  2 Zr 2.54-2.55
Cl (0.9641, 0.7911, 0.7490)  2 Zr 2.54-2.55
Cl (0.1009, 0.3991, 0.7500)  2 Zr 2.66
Cl (0.6009, 0.8991, 0.7500)  2 Zr 2.66
Cl (0.4641, 0.2911, 0.7510)  2 Zr 2.54-2.55
Cl (0.7089, 0.5359, 0.7510)  2 Zr 2.54-2.55
Cl (0.8420, 0.1580, 0.7601)  3 Zr 2.63-2.93
Cl (0.1356, 0.6185, 0.9917)  2 Zr 2.54-2.55
Cl (0.3815, 0.8644, 0.9917)  2 Zr 2.54-2.55
Zr (0.3515, 0.6485, 0.1090)  1 B 2.30, 4 Cl 2.54
Zr (0.4531, 0.3119, 0.1175)  1 B 2.37, 4 Cl 2.52-2.63
Zr (0.6881, 0.5469, 0.1175)  1 B 2.37, 4 Cl 2.52-2.63
Zr (0.1881, 0.0469, 0.3825)  1 B 2.37, 4 Cl 2.52-2.63
Zr (0.9531, 0.8119, 0.3825)  1 B 2.37, 4 Cl 2.52-2.63
Zr (0.8515, 0.1485, 0.3910)  1 B 2.30, 4 Cl 2.54
Zr (0.1485, 0.8515, 0.6090)  1 B 2.30, 4 Cl 2.54
Zr (0.0469, 0.1881, 0.6175)  1 B 2.37, 4 Cl 2.52-2.63
Zr (0.8119, 0.9531, 0.6175)  1 B 2.37, 4 Cl 2.52-2.63
Zr (0.3119, 0.4531, 0.8825)  1 B 2.37, 4 Cl 2.52-2.63
Zr (0.5469, 0.6881, 0.8825)  1 B 2.37, 4 Cl 2.52-2.63
Zr (0.6485, 0.3515, 0.8910)  1 B 2.30, 4 Cl 2.54


Record 3
TmNiIr | PBE | optimized geometry

Output
Symmetry: Imma
Formation energy from the elements, kcal/mol of atoms: -16.50

Cell lengths 5.1659, 5.1659, 5.1659 Å; angles 122.07, 117.42, 90.49 degrees
Last column: nearest neighbours and their distance in Å.
Positions (direct):
Ir (0.0000, 0.0000, 0.0000)  4 Ni 2.58, 2 Ir 2.68
Ir (0.5000, 0.0000, 0.5000)  4 Ni 2.58, 2 Ir 2.68
Ni (0.0000, 0.5000, 0.0000)  2 Ni 2.50, 4 Ir 2.58
Ni (0.0000, 0.0000, 0.5000)  2 Ni 2.50, 4 Ir 2.58
Tm (0.6280, 0.3780, 0.2500)  6 Ir 2.97-3.06, 6 Ni 2.98-3.10, 4 Tm 3.12-3.22
Tm (0.3720, 0.6220, 0.7500)  6 Ir 2.97-3.06, 6 Ni 2.98-3.10, 4 Tm 3.12-3.22


Record 4
SrReIr | PBE | optimized geometry

Output
Symmetry: F-43m
Energy relative to the lowest polymorph listed for this composition, eV/f.u.: 0.00

Cell lengths 4.5825, 4.5825, 4.5825 Å; angles 60.00, 60.00, 60.00 degrees
Last column: nearest neighbours and their distance in Å.
Positions (direct):
Ir (0.0000, 0.0000, 0.0000)  4 Sr 2.81, 4 Re 2.81
Re (0.2500, 0.2500, 0.2500)  4 Ir 2.81
Sr (0.7500, 0.7500, 0.7500)  4 Ir 2.81


Record 5
ZnW2C | PBE | optimized geometry

Output
DFT total energy, eV/atom: -8.9586
Symmetry: Cmcm

Cell lengths 5.1432, 5.1432, 14.2496 Å; angles 100.40, 100.40, 60.03 degrees
Last column: nearest neighbours and their distance in Å.
Positions (direct):
C (0.5000, 0.0000, 0.0000)  6 W 2.13
C (0.8335, 0.3331, 0.0000)  6 W 2.13
C (0.1665, 0.6669, 0.0000)  6 W 2.13
C (0.3331, 0.8335, 0.5000)  6 W 2.13
C (0.0000, 0.5000, 0.5000)  6 W 2.13
C (0.6669, 0.1665, 0.5000)  6 W 2.13
W (0.1965, 0.0305, 0.0905)  3 C 2.13
W (0.8634, 0.6970, 0.0905)  3 C 2.13
W (0.5301, 0.3636, 0.0907)  3 C 2.13
W (0.6364, 0.4699, 0.4093)  3 C 2.13
W (0.3030, 0.1366, 0.4095)  3 C 2.13
W (0.9695, 0.8035, 0.4095)  3 C 2.13
W (0.0305, 0.1965, 0.5905)  3 C 2.13
W (0.6970, 0.8634, 0.5905)  3 C 2.13
W (0.3636, 0.5301, 0.5907)  3 C 2.13
W (0.4699, 0.6364, 0.9093)  3 C 2.13
W (0.1366, 0.3030, 0.9095)  3 C 2.13
W (0.8035, 0.9695, 0.9095)  3 C 2.13
Zn (0.5817, 0.7522, 0.2500)  6 W 2.80-2.81, 6 Zn 2.97-2.98
Zn (0.9159, 0.0841, 0.2500)  6 W 2.80-2.81, 6 Zn 2.97-2.98
Zn (0.2478, 0.4183, 0.2500)  6 W 2.80-2.81, 6 Zn 2.97-2.98
Zn (0.7522, 0.5817, 0.7500)  6 W 2.80-2.81, 6 Zn 2.97-2.98
Zn (0.0841, 0.9159, 0.7500)  6 W 2.80-2.81, 6 Zn 2.97-2.98
Zn (0.4183, 0.2478, 0.7500)  6 W 2.80-2.81, 6 Zn 2.97-2.98


Record 6
TmZrCo | PBE | optimized geometry

Output
Symmetry: F-43m
Formation energy from the elements, kcal/mol of atoms: 22.32

Cell lengths 4.4967, 4.4967, 4.4967 Å; angles 60.00, 60.00, 60.00 degrees
Last column: nearest neighbours and their distance in Å.
Positions (direct):
Co (0.2500, 0.2500, 0.2500)  4 Tm 2.75
Tm (0.0000, 0.0000, 0.0000)  4 Zr 2.75, 4 Co 2.75
Zr (0.7500, 0.7500, 0.7500)  4 Tm 2.75


Record 7
LaGd | PBE | optimized geometry

Output
Symmetry: Fm-3m
Formation energy from the elements, kcal/mol of atoms: 14.41
Energy relative to the lowest polymorph listed for this composition, eV/f.u.: 1.17

Cell lengths 4.6614, 4.6614, 4.6614 Å; angles 60.00, 60.00, 60.00 degrees
Last column: nearest neighbours and their distance in Å.
Positions (direct):
Gd (0.0000, 0.0000, 0.0000)  6 La 3.30
La (0.5000, 0.5000, 0.5000)  6 Gd 3.30


Record 8
SmCdAgTe3 | PBE | optimized geometry

Output
DFT total energy, eV/atom: -3.6228
Symmetry: P2_1/m

Cell lengths 8.3890, 4.2910, 10.2500 Å; angles 90.00, 102.18, 90.00 degrees
Last column: nearest neighbours and their distance in Å.
Positions (direct):
Ag (0.5869, 0.2500, 0.0817)  4 Te 2.80-3.06, 2 Ag 2.92
Ag (0.4131, 0.7500, 0.9183)  4 Te 2.80-3.06, 2 Ag 2.92
Cd (0.2791, 0.7500, 0.2141)  6 Te 3.10-3.24, 1 Ag 3.45
Cd (0.7209, 0.2500, 0.7859)  6 Te 3.10-3.24, 1 Ag 3.45
Sm (0.8146, 0.7500, 0.3220)  6 Te 3.11-3.22
Sm (0.1854, 0.2500, 0.6780)  6 Te 3.11-3.22
Te (0.7842, 0.7500, 0.0097)  3 Ag 2.90-3.06, 2 Cd 3.10, 1 Sm 3.16
Te (0.5545, 0.2500, 0.3482)  1 Ag 2.80, 2 Sm 3.11
Te (0.0984, 0.2500, 0.3569)  2 Cd 3.16, 3 Sm 3.17-3.22
Te (0.9016, 0.7500, 0.6431)  2 Cd 3.16, 3 Sm 3.17-3.22
Te (0.4455, 0.7500, 0.6518)  1 Ag 2.80, 2 Sm 3.11
Te (0.2158, 0.2500, 0.9903)  3 Ag 2.90-3.06, 2 Cd 3.10, 1 Sm 3.16